The following is a PBE calculation of an optimized crystal structure of Tb2Pr5Nd12, from Alexandria.

Results
The calculation puts the density of states at the Fermi level at 1.5131 states/eV/atom. The calculation puts the energy of formation at 0.128 eV/atom. As for the mass density: 6.69 Mg/m³. The energy above the most stable polymorph in this dataset is 0 meV/atom.

abc: 22.7001 7.2343 8.8781
angles: 90.00 110.33 90.00
Closest atoms and distances in Å follow each position.
Space group C2/m (No. 12)
One atom of each set of equivalent atoms:
Tb: 0.0000 0.2428 0.0000 [4 per cell]  6 Nd 3.41-3.70, 2 Tb 3.51-3.72, 2 Pr 3.66
Pr: 0.0000 0.5000 0.5000 [2 per cell]  4 Nd 3.47
Pr: 0.1501 0.0000 0.0953 [4 per cell]  9 Nd 3.50-3.72, 1 Pr 3.61, 2 Tb 3.66
Pr: 0.2482 0.5000 0.4894 [4 per cell]  9 Nd 3.56-3.75, 3 Pr 3.61-3.62
Nd: 0.0483 0.0000 0.6954 [4 per cell]  5 Nd 3.40-3.76, 1 Pr 3.50, 2 Tb 3.70
Nd: 0.1057 0.2432 0.3831 [8 per cell]  1 Tb 3.41, 4 Pr 3.47-3.57, 5 Nd 3.52-3.76
Nd: 0.1421 0.5000 0.0583 [4 per cell]  6 Nd 3.58-3.80, 2 Tb 3.60, 3 Pr 3.63-3.75
Nd: 0.2005 0.2470 0.7933 [8 per cell]  7 Nd 3.53-3.80, 4 Pr 3.59-3.72